The following is a DFT calculation (PBE) of a relaxed Tb4PmSn4 crystal.

Cell: 9.8658 9.8658 6.1684 Å, 90.00 90.00 90.00°
With the nearest neighbours (Å) after each atom.
Space group P4_2/n (No. 86, origin choice 2)
Asymmetric unit:
Tb 0.0908 0.6503 0.1398  5 Sn 3.11-3.20
Pm 0.2500 0.2500 0.2500  4 Sn 3.15
Sn 0.0330 0.6161 0.6475  1 Sn 3.00, 5 Tb 3.11-3.20, 1 Pm 3.15

Output
VASP energy, eV per atom: -4.80
Total magnetization, μB per formula unit: 0.000
Density of states at the Fermi level, states/eV per cell: 18.7
Formation enthalpy at 0 K, meV/atom: -438
Density, g/cm³: 6.9